Record 1
A plane-wave DFT calculation with GGA-PBE was carried out for a geometry-optimized RePbSeBr2 structure.

## Properties
energy above the lowest structure with this stoichiometry = 0.757 eV/atom
raw formation energy = 103.69 kJ per mole of atoms
D(E_F) = 3.34 states/eV per cell
VASP energy = -3.52 eV/atom

Cell and atoms, written as CIF:
```
data_RePbSeBr2
_cell_length_a 5.717
_cell_length_b 5.717
_cell_length_c 5.601
_cell_angle_alpha 90.00
_cell_angle_beta 90.00
_cell_angle_gamma 90.00
_symmetry_space_group_name_H-M 'P 4/m m m'
_symmetry_Int_Tables_number 123
_symmetry_space_group_name_Hall '-P 4 2'
loop_
_atom_site_label
_atom_site_type_symbol
_atom_site_fract_x
_atom_site_fract_y
_atom_site_fract_z
Re1 Re 0.000 0.000 0.000
Pb1 Pb 0.500 0.500 0.500
Se1 Se 0.500 0.500 0.000
Br1 Br 0.000 0.500 0.500
```

Record 2
A plane-wave DFT calculation with GGA-PBE was carried out for a geometry-optimized AlSiAu structure.

## Properties
raw formation energy = 4.28 kJ per mole of atoms
D(E_F) = 2.44 states/eV per cell
VASP energy = -4.10 eV/atom

Cell and atoms, written as CIF:
```
data_AlSiAu
_cell_length_a 4.129
_cell_length_b 4.129
_cell_length_c 6.087
_cell_angle_alpha 90.00
_cell_angle_beta 90.00
_cell_angle_gamma 90.00
_symmetry_space_group_name_H-M 'P 4/n m m'
_symmetry_Int_Tables_number 129
loop_
_symmetry_equiv_pos_as_xyz
'x,y,z'
'-x,-y,-z'
'-y+1/2,x,z'
'y+1/2,-x,-z'
'-x+1/2,-y+1/2,z'
'x+1/2,y+1/2,-z'
'y,-x+1/2,z'
'-y,x+1/2,-z'
'x+1/2,-y,-z'
'-x+1/2,y,z'
'-y,-x,-z'
'y,x,z'
'-x,y+1/2,-z'
'x,-y+1/2,z'
'y+1/2,x+1/2,-z'
'-y+1/2,-x+1/2,z'
loop_
_atom_site_label
_atom_site_type_symbol
_atom_site_fract_x
_atom_site_fract_y
_atom_site_fract_z
Al1 Al 0.250 0.750 0.000
Si1 Si 0.250 0.250 0.300
Au1 Au 0.250 0.250 0.711
```

Record 3
A plane-wave DFT calculation with GGA-PBE was carried out for a geometry-optimized KOsCl2 structure.

## Properties
energy above the lowest structure with this stoichiometry = 0.269 eV/atom
raw formation energy = 12.64 kJ per mole of atoms
D(E_F) = 4.24 states/eV per cell
VASP energy = -3.87 eV/atom

Cell and atoms, written as CIF:
```
data_KOsCl2
_cell_length_a 3.796
_cell_length_b 7.885
_cell_length_c 7.357
_cell_angle_alpha 90.00
_cell_angle_beta 90.00
_cell_angle_gamma 90.00
_symmetry_space_group_name_H-M 'C m m m'
_symmetry_Int_Tables_number 65
_symmetry_space_group_name_Hall '-C 2 2'
loop_
_atom_site_label
_atom_site_type_symbol
_atom_site_fract_x
_atom_site_fract_y
_atom_site_fract_z
K1 K 0.000 0.000 0.000
Os1 Os 0.000 0.000 0.500
Cl1 Cl 0.000 0.500 0.303
```

Record 4
A plane-wave DFT calculation with GGA-PBE was carried out for a geometry-optimized Sn2IrF structure.

## Properties
energy above the lowest structure with this stoichiometry = 0.154 eV/atom
raw formation energy = -45.02 kJ per mole of atoms
D(E_F) = 9.37 states/eV per cell
VASP energy = -5.15 eV/atom

Cell and atoms, written as CIF:
```
data_Sn2IrF
_cell_length_a 5.671
_cell_length_b 5.671
_cell_length_c 12.417
_cell_angle_alpha 90.00
_cell_angle_beta 90.00
_cell_angle_gamma 90.00
_symmetry_space_group_name_H-M 'I -4 2 d'
_symmetry_Int_Tables_number 122
_symmetry_space_group_name_Hall 'I -4 2bw'
loop_
_atom_site_label
_atom_site_type_symbol
_atom_site_fract_x
_atom_site_fract_y
_atom_site_fract_z
Sn1 Sn 0.244 0.250 0.125
Ir1 Ir 0.000 0.000 0.500
F1 F 0.000 0.000 0.000
```

Record 5
A plane-wave DFT calculation with GGA-PBE was carried out for a geometry-optimized BaCdIn2Hg6 structure.

## Properties
D(E_F) = 17.27 states/eV per cell
VASP energy = -1.16 eV/atom
formation enthalpy at 0 K = -0.1473 eV per atom

Cell and atoms, written as CIF:
```
data_BaCdIn2Hg6
_cell_length_a 9.085
_cell_length_b 14.434
_cell_length_c 9.907
_cell_angle_alpha 90.00
_cell_angle_beta 117.11
_cell_angle_gamma 90.00
_symmetry_space_group_name_H-M 'C 1 2/c 1'
_symmetry_Int_Tables_number 15
_symmetry_space_group_name_Hall '-C 2yc'
loop_
_atom_site_label
_atom_site_type_symbol
_atom_site_fract_x
_atom_site_fract_y
_atom_site_fract_z
Ba1 Ba 0.000 0.094 0.250
Cd1 Cd 0.000 0.300 0.750
In1 In 0.208 0.154 0.686
Hg1 Hg 0.053 0.311 0.452
Hg2 Hg 0.109 0.482 0.667
Hg3 Hg 0.174 0.115 0.991
```

Record 6
A plane-wave DFT calculation with GGA-PBE was carried out for a geometry-optimized MoP4Pb structure.

## Properties
energy above the lowest structure with this stoichiometry = 0.212 eV/atom
D(E_F) = 11.98 states/eV per cell
VASP energy = -5.72 eV/atom
formation enthalpy at 0 K = 0.3079 eV per atom

Cell and atoms, written as CIF:
```
data_MoP4Pb
_cell_length_a 5.364
_cell_length_b 5.364
_cell_length_c 18.696
_cell_angle_alpha 90.00
_cell_angle_beta 90.00
_cell_angle_gamma 90.00
_symmetry_space_group_name_H-M 'I 41/a m d'
_symmetry_Int_Tables_number 141
loop_
_symmetry_equiv_pos_as_xyz
'x,y,z'
'-x,-y,-z'
'-y+1/4,x+3/4,z+1/4'
'y+1/4,-x+3/4,-z+1/4'
'-x+1/2,-y,z+1/2'
'x+1/2,y,-z+1/2'
'y+1/4,-x+1/4,z+3/4'
'-y+1/4,x+1/4,-z+3/4'
'x,-y,-z'
'-x,y,z'
'-y+1/4,-x+1/4,-z+3/4'
'y+1/4,x+1/4,z+3/4'
'-x+1/2,y,-z+1/2'
'x+1/2,-y,z+1/2'
'y+1/4,x+3/4,-z+1/4'
'-y+1/4,-x+3/4,z+1/4'
'x+1/2,y+1/2,z+1/2'
'-x+1/2,-y+1/2,-z+1/2'
'-y+3/4,x+1/4,z+3/4'
'y+3/4,-x+1/4,-z+3/4'
'-x,-y+1/2,z'
'x,y+1/2,-z'
'y+3/4,-x+3/4,z+1/4'
'-y+3/4,x+3/4,-z+1/4'
'x+1/2,-y+1/2,-z+1/2'
'-x+1/2,y+1/2,z+1/2'
'-y+3/4,-x+3/4,-z+1/4'
'y+3/4,x+3/4,z+1/4'
'-x,y+1/2,-z'
'x,-y+1/2,z'
'y+3/4,x+1/4,-z+3/4'
'-y+3/4,-x+1/4,z+3/4'
loop_
_atom_site_label
_atom_site_type_symbol
_atom_site_fract_x
_atom_site_fract_y
_atom_site_fract_z
Mo1 Mo 0.000 0.250 0.375
P1 P 0.000 0.050 0.713
Pb1 Pb 0.000 0.250 0.875
```